Entry 1:
The following is a PBEsol calculation of a geometry-optimized TaCo4Mo structure, from Alexandria via LeMat-Bulk.

The value obtained for the density of states at the Fermi level is 42.4 states/eV/cell. The uncorrected energy comes out at -0.68626 Ry per atom.

The space group is F-43m (No. 216) and the conventional cell measures 6.5766, 6.5766 and 6.5766 Å, with angles of 90.00, 90.00 and 90.00 degrees. Symmetry generates all atoms from Ta at (0.0000, 0.0000, 0.0000), Co at (0.1248, 0.1248, 0.6248) and Mo at (0.2500, 0.2500, 0.2500).

Entry 2:
The following is a PBEsol calculation of a geometry-optimized Ta3Co2Mo structure, from Alexandria via LeMat-Bulk.

The value obtained for the density of states at the Fermi level is 19.8 states/eV/cell. The uncorrected energy comes out at -0.81062 Ry per atom.

The space group is Fmm2 (No. 42) and the conventional cell measures 4.8653, 8.5790 and 8.4313 Å, with angles of 90.00, 90.00 and 90.00 degrees. Symmetry generates all atoms from Ta at (0.0000, 0.0000, 0.0000), Ta at (0.0000, 0.1605, 0.3414), Co at (0.2500, 0.2500, 0.0917) and Mo at (0.0000, 0.0000, 0.6813).

Entry 3:
The following is a PBEsol calculation of a geometry-optimized TaCoMo2 structure, from Alexandria via LeMat-Bulk.

The value obtained for the density of states at the Fermi level is 16.3 states/eV/cell. The uncorrected energy comes out at -0.79164 Ry per atom.

The space group is Fm-3m (No. 225) and the conventional cell measures 6.1685, 6.1685 and 6.1685 Å, with angles of 90.00, 90.00 and 90.00 degrees. Symmetry generates all atoms from Ta at (0.0000, 0.0000, 0.0000), Co at (0.0000, 0.0000, 0.5000) and Mo at (0.2500, 0.2500, 0.2500).

Entry 4:
The following is a PBEsol calculation of a geometry-optimized TaCoMo2 structure, from Alexandria via LeMat-Bulk.

The value obtained for the density of states at the Fermi level is 4.3 states/eV/cell. The uncorrected energy comes out at -0.79876 Ry per atom.

The space group is Pm (No. 6) and the conventional cell measures 2.6815, 4.3195 and 5.1301 Å, with angles of 90.00, 99.40 and 90.00 degrees. Symmetry generates all atoms from Ta at (0.0000, 0.0000, 0.0000), Co at (0.7442, 0.5000, 0.2335), Mo at (0.2523, 0.5000, 0.7316) and Mo at (0.4920, 0.0000, 0.4969).

Entry 5:
The following is a PBEsol calculation of a geometry-optimized TaCo2Mo structure, from Alexandria via LeMat-Bulk.

The value obtained for the density of states at the Fermi level is 3.9 states/eV/cell. The uncorrected energy comes out at -0.73635 Ry per atom.

The space group is Pm (No. 6) and the conventional cell measures 2.6910, 4.2565 and 4.5879 Å, with angles of 90.00, 95.63 and 90.00 degrees. Symmetry generates all atoms from Ta at (0.0000, 0.0000, 0.0000), Co at (0.5767, 0.0000, 0.4859), Co at (0.5830, 0.5000, 0.1431) and Mo at (0.1911, 0.5000, 0.6218).

Entry 6:
The following is a PBEsol calculation of a geometry-optimized CoTcMo2 structure, from Alexandria via LeMat-Bulk.

The value obtained for the density of states at the Fermi level is 14.4 states/eV/cell. The uncorrected energy comes out at -0.76202 Ry per atom.

The space group is R-3m (No. 166, hexagonal axes) and the conventional cell measures 2.7030, 2.7030 and 26.2378 Å, with angles of 90.00, 90.00 and 120.00 degrees. Symmetry generates all atoms from Co at (0.0000, 0.0000, 0.0000), Tc at (0.0000, 0.0000, 0.5000) and Mo at (0.0000, 0.0000, 0.2534).